Entry 1:
Below is a relaxed VCo2HOs crystal, with properties calculated at the PBE-GGA level.

Structure (CIF):
```
data_VCo2HOs
_cell_length_a 3.6224
_cell_length_b 3.6224
_cell_length_c 3.8251
_cell_angle_alpha 90.00
_cell_angle_beta 90.00
_cell_angle_gamma 90.00
_symmetry_space_group_name_H-M 'P 4/m m m'
_symmetry_Int_Tables_number 123
_symmetry_space_group_name_Hall '-P 4 2'
loop_
_atom_site_label
_atom_site_type_symbol
_atom_site_fract_x
_atom_site_fract_y
_atom_site_fract_z
V1 V 0.0000 0.0000 0.0000
Co1 Co 0.0000 0.5000 0.5000
H1 H 0.5000 0.5000 0.5000
Os1 Os 0.5000 0.5000 0.0000
```

Properties
As for the energy relative to the lowest polymorph listed for this composition: 25 meV/atom. The density of states at the Fermi level comes out at 2.9 states/eV/cell. The energy is -7.6605 eV per atom. The magnetization comes out at 0.00 μB per formula unit.

Entry 2:
Below is a relaxed HoThPdRh crystal, with properties calculated at the PBE-GGA level.

Structure (CIF):
```
data_HoThPdRh
_cell_length_a 4.2364
_cell_length_b 3.8300
_cell_length_c 11.2402
_cell_angle_alpha 90.00
_cell_angle_beta 90.00
_cell_angle_gamma 90.00
_symmetry_space_group_name_H-M 'A m m 2'
_symmetry_Int_Tables_number 38
loop_
_symmetry_equiv_pos_as_xyz
'x,y,z'
'-x,-y,z'
'-x,y,z'
'x,-y,z'
'x,y+1/2,z+1/2'
'-x,-y+1/2,z+1/2'
'-x,y+1/2,z+1/2'
'x,-y+1/2,z+1/2'
loop_
_atom_site_label
_atom_site_type_symbol
_atom_site_fract_x
_atom_site_fract_y
_atom_site_fract_z
Ho1 Ho 0.0000 0.0000 0.0000
Th1 Th 0.5000 0.0000 0.2756
Pd1 Pd 0.5000 0.0000 0.5522
Rh1 Rh 0.0000 0.0000 0.7396
```

Properties
As for the energy relative to the lowest polymorph listed for this composition: 0 meV/atom. The density of states at the Fermi level comes out at 6.1 states/eV/cell. The energy is -7.0600 eV per atom. The magnetization comes out at 0.00 μB per formula unit. As for the formation enthalpy at 0 K: -3.698 eV per formula unit.

Entry 3:
Below is a relaxed TlCrTc2 crystal, with properties calculated at the PBE-GGA level.

Structure (CIF):
```
data_TlCrTc2
_cell_length_a 2.8770
_cell_length_b 3.7638
_cell_length_c 5.9950
_cell_angle_alpha 90.00
_cell_angle_beta 90.00
_cell_angle_gamma 90.00
_symmetry_space_group_name_H-M 'P m m m'
_symmetry_Int_Tables_number 47
loop_
_symmetry_equiv_pos_as_xyz
'x,y,z'
'-x,-y,-z'
'-x,-y,z'
'x,y,-z'
'x,-y,-z'
'-x,y,z'
'-x,y,-z'
'x,-y,z'
loop_
_atom_site_label
_atom_site_type_symbol
_atom_site_fract_x
_atom_site_fract_y
_atom_site_fract_z
Tl1 Tl 0.0000 0.0000 0.0000
Cr1 Cr 0.0000 0.0000 0.5000
Tc1 Tc 0.5000 0.5000 0.3040
```

Properties
As for the energy relative to the lowest polymorph listed for this composition: 70 meV/atom. The density of states at the Fermi level comes out at 3.3 states/eV/cell. The energy is -7.6793 eV per atom. The magnetization comes out at 0.00 μB per formula unit. As for the formation enthalpy at 0 K: 2.004 eV per formula unit.

Entry 4:
Below is a relaxed Cd2RhN crystal, with properties calculated at the PBE-GGA level.

Structure (CIF):
```
data_Cd2RhN
_cell_length_a 9.0337
_cell_length_b 9.0337
_cell_length_c 3.7530
_cell_angle_alpha 90.00
_cell_angle_beta 90.00
_cell_angle_gamma 90.00
_symmetry_space_group_name_H-M 'I -4 2 d'
_symmetry_Int_Tables_number 122
_symmetry_space_group_name_Hall 'I -4 2bw'
loop_
_atom_site_label
_atom_site_type_symbol
_atom_site_fract_x
_atom_site_fract_y
_atom_site_fract_z
Cd1 Cd 0.1244 0.2500 0.1250
Rh1 Rh 0.0000 0.0000 0.5000
N1 N 0.0000 0.0000 0.0000
```

Properties
The density of states at the Fermi level comes out at 8.1 states/eV/cell. The energy is -4.0001 eV per atom. The magnetization comes out at 0.00 μB per formula unit. The calculation puts the uncorrected formation energy at 0.38 eV/atom.

Entry 5:
Below is a relaxed MnPH2 crystal, with properties calculated at the PBE-GGA level.

Structure (CIF):
```
data_MnPH2
_cell_length_a 2.9400
_cell_length_b 2.9400
_cell_length_c 7.0539
_cell_angle_alpha 90.00
_cell_angle_beta 90.00
_cell_angle_gamma 90.00
_symmetry_space_group_name_H-M 'I -4 m 2'
_symmetry_Int_Tables_number 119
_symmetry_space_group_name_Hall 'I -4 -2'
loop_
_atom_site_label
_atom_site_type_symbol
_atom_site_fract_x
_atom_site_fract_y
_atom_site_fract_z
Mn1 Mn 0.0000 0.0000 0.0000
P1 P 0.0000 0.5000 0.7500
H1 H 0.0000 0.5000 0.1052
```

Properties
As for the energy relative to the lowest polymorph listed for this composition: 0 meV/atom. The density of states at the Fermi level comes out at 1.7 states/eV/cell. The energy is -5.4209 eV per atom. The magnetization comes out at 0.00 μB per formula unit.

Entry 6:
Below is a relaxed BaPb3O4 crystal, with properties calculated at the PBE-GGA level.

Structure (CIF):
```
data_BaPb3O4
_cell_length_a 8.0429
_cell_length_b 8.0429
_cell_length_c 6.3356
_cell_angle_alpha 90.00
_cell_angle_beta 90.00
_cell_angle_gamma 120.00
_symmetry_space_group_name_H-M 'P -6 2 c'
_symmetry_Int_Tables_number 190
_symmetry_space_group_name_Hall 'P -6c -2c'
loop_
_atom_site_label
_atom_site_type_symbol
_atom_site_fract_x
_atom_site_fract_y
_atom_site_fract_z
Ba1 Ba 0.3333 0.6667 0.2500
Pb1 Pb 0.1630 0.3475 0.7500
O1 O 0.0000 0.3978 0.0000
O2 O 0.3333 0.6667 0.7500
```

Properties
The density of states at the Fermi level comes out at 0.0 states/eV/cell. The energy is -5.6071 eV per atom. The magnetization comes out at 0.00 μB per formula unit. The calculation puts the uncorrected formation energy at -1.50 eV/atom.